Record 1
ScCr after structural relaxation, computed with GGA-PBE.

Cell and atoms, written as POSCAR:
```
ScCr
1.0
3.6601 0.0000 0.0000
-1.8301 3.1698 0.0000
0.0000 0.0000 13.8253
Sc Cr
4 4
direct
0.3333 0.6667 0.1028
0.3333 0.6667 0.3972
0.6667 0.3333 0.6028
0.6667 0.3333 0.8972
0.0000 0.0000 0.2500
0.0000 0.0000 0.7500
0.3333 0.6667 0.7500
0.6667 0.3333 0.2500
```

Calculated values
space-group type = No. 194
VASP energy = -15.2 eV/f.u.

Record 2
ScCr after structural relaxation, computed with GGA-PBE.

Cell and atoms, written as POSCAR:
```
ScCr
1.0
-5.7107 5.7107 1.4679
5.7107 -5.7107 1.4679
5.7107 5.7107 -1.4679
Sc Cr
4 4
direct
0.0477 0.3308 0.3785
0.3308 0.9523 0.2831
0.6692 0.0477 0.7169
0.9523 0.6692 0.6215
0.1828 0.7615 0.9443
0.2385 0.1828 0.4212
0.7615 0.8172 0.5788
0.8172 0.2385 0.0557
```

Calculated values
space-group type = No. 87
VASP energy = -14.3 eV/f.u.

Record 3
Sc5Cr3 after structural relaxation, computed with GGA-PBE.

Cell and atoms, written as POSCAR:
```
Sc5Cr3
1.0
3.5292 -4.7789 0.0000
3.5292 4.7789 0.0000
0.0000 0.0000 4.7123
Sc Cr
5 3
direct
0.0000 0.0000 0.0000
0.0000 0.5000 0.0000
0.2772 0.2772 0.5000
0.5000 0.0000 0.0000
0.7228 0.7228 0.5000
0.2370 0.7630 0.5000
0.5000 0.5000 0.0000
0.7630 0.2370 0.5000
```

Calculated values
space-group type = No. 65
E above lowest polymorph = 0 meV per atom